Record 1
A geometry-optimized LaAl2Pd2Rh structure. Source: Alexandria via LeMat-Bulk, functional PBE.

Cell lengths 4.667, 4.667, 5.559 Å; angles 90.00, 90.00, 90.00 degrees
Space group P4/mmm (No. 123)
Symmetry-distinct sites (fractional):
La  0.000  0.000  0.000 (multiplicity 1)
Al  0.000  0.500  0.500 (multiplicity 2)
Pd  0.500  0.500  0.248 (multiplicity 2)
Rh  0.000  0.000  0.500 (multiplicity 1)

Properties
Calculated total energy in eV per cell: -34.3
Fermi-level density of states in states/eV per atom: 0.4116
Magnetic moment in μB/atom: 0.0000
Crystal system: tetragonal
Formation enthalpy at 0 K in eV/atom: -0.688

Record 2
A geometry-optimized AlCdMo2 structure. Source: Alexandria via LeMat-Bulk, functional PBE.

Cell lengths 2.808, 4.528, 5.290 Å; angles 90.00, 96.52, 90.00 degrees
Space group Pm (No. 6)
Symmetry-distinct sites (fractional):
Al  0.000  0.000  0.000 (multiplicity 1)
Cd  0.910  0.500  0.272 (multiplicity 1)
Mo  0.354  0.500  0.772 (multiplicity 1)
Mo  0.515  0.000  0.535 (multiplicity 1)

Properties
Calculated total energy in eV per cell: -25.8
Fermi-level density of states in states/eV per atom: 0.4436
Magnetic moment in μB/atom: 0.0000
Crystal system: monoclinic
Formation enthalpy at 0 K in eV/atom: 0.137

Record 3
A geometry-optimized BeSiPt structure. Source: Alexandria via LeMat-Bulk, functional PBE.

Cell lengths 5.589, 5.589, 5.589 Å; angles 90.00, 90.00, 90.00 degrees
Space group F-43m (No. 216)
Symmetry-distinct sites (fractional):
Be  0.000  0.000  0.000 (multiplicity 4)
Si  0.000  0.000  0.500 (multiplicity 4)
Pt  0.250  0.250  0.750 (multiplicity 4)

Properties
Calculated total energy in eV per cell: -66.7
Fermi-level density of states in states/eV per atom: 0.5229
Magnetic moment in μB/atom: 0.0000
Crystal system: cubic
Raw formation energy in eV/atom: -0.492